Density functional theory data (PBE) for crystalline Cu2BSbAu at its relaxed geometry.

```
5
Lattice="-3.879 0.753 1.056 0.945 -1.451 4.507 1.020 3.828 1.018" Properties=species:S:1:pos:R:3 pbc="T T T"
Sb 0.472 -0.725 2.253
B 0.000 0.000 0.000
Au -0.957 1.565 3.290
Cu 0.510 1.914 0.509
Cu -1.940 0.376 0.528
```

Computed properties:
As for the density of states at the Fermi level: 3.33 states/eV per cell. The magnetization comes out at 0.000 μB/cell. The raw formation energy is 0.43 eV/atom. The crystal system is tetragonal.



Density functional theory data (PBE) for crystalline Dy3B2Pt9Au at its relaxed geometry.

```
15
Lattice="5.711 0.000 0.000 -2.856 4.946 0.000 0.000 0.000 9.560" Properties=species:S:1:pos:R:3 pbc="T T T"
Dy 0.000 3.297 5.842
Dy 0.000 0.000 0.000
Dy 2.856 1.649 3.719
B 0.000 3.297 1.388
B 2.856 1.649 8.173
Pt 4.301 0.814 6.927
Pt 2.856 3.318 6.927
Pt 1.410 0.814 6.927
Pt 1.446 4.132 2.634
Pt 0.000 1.628 2.634
Pt -1.446 4.132 2.634
Pt 2.856 0.000 0.000
Pt -1.428 2.473 0.000
Pt 1.428 2.473 0.000
Au 0.000 0.000 4.780
```

Computed properties:
As for the density of states at the Fermi level: 4.00 states/eV per cell. The magnetization comes out at 0.000 μB/cell. For the formation energy, the calculation gives -0.78 eV per atom. The crystal system is trigonal.



Density functional theory data (PBE) for crystalline Dy3B2Rh9Au at its relaxed geometry.

```
15
Lattice="5.803 0.000 0.000 -2.901 5.025 0.000 0.000 0.000 8.877" Properties=species:S:1:pos:R:3 pbc="T T T"
Dy 0.000 3.350 5.996
Dy 0.000 0.000 0.000
Dy 2.901 1.675 2.881
B 0.000 3.350 1.290
B 2.901 1.675 7.586
Rh 4.398 0.811 6.526
Rh 2.901 3.403 6.526
Rh 1.405 0.811 6.526
Rh 1.496 4.214 2.351
Rh 0.000 1.622 2.351
Rh -1.496 4.214 2.351
Rh 2.901 0.000 0.000
Rh -1.451 2.513 0.000
Rh 1.451 2.513 0.000
Au 0.000 0.000 4.438
```

Computed properties:
As for the density of states at the Fermi level: 12.69 states/eV per cell. The magnetization comes out at 0.000 μB/cell. For the formation energy, the calculation gives -0.49 eV per atom. The crystal system is trigonal.



Density functional theory data (PBE) for crystalline Dy2B2Rh5Au at its relaxed geometry.

```
20
Lattice="3.239 0.000 0.000 0.000 9.599 0.000 0.000 0.000 9.599" Properties=species:S:1:pos:R:3 pbc="T T T"
Dy 0.000 6.494 1.695
Dy 0.000 3.105 7.904
Dy 0.000 1.695 3.105
Dy 0.000 7.904 6.494
B 0.000 1.177 5.977
B 0.000 8.422 3.622
B 0.000 5.977 8.422
B 0.000 3.622 1.177
Rh 1.619 2.177 0.679
Rh 1.619 7.422 8.920
Rh 1.619 0.679 7.422
Rh 1.619 6.976 4.120
Rh 1.619 8.920 2.177
Rh 1.619 2.623 5.479
Rh 1.619 5.479 6.976
Rh 1.619 4.120 2.623
Rh 1.619 4.800 0.000
Rh 1.619 0.000 4.800
Au 0.000 0.000 0.000
Au 0.000 4.800 4.800
```

Computed properties:
As for the density of states at the Fermi level: 7.09 states/eV per cell. The magnetization comes out at 0.000 μB/cell. For the formation energy, the calculation gives -0.69 eV per atom. The crystal system is tetragonal.



Density functional theory data (PBE) for crystalline Er2B2Rh5Au at its relaxed geometry.

```
20
Lattice="3.226 0.000 0.000 0.000 9.567 0.000 0.000 0.000 9.567" Properties=species:S:1:pos:R:3 pbc="T T T"
Er 0.000 6.471 1.688
Er 0.000 3.095 7.879
Er 0.000 1.688 3.095
Er 0.000 7.879 6.471
B 0.000 1.176 5.959
B 0.000 8.391 3.607
B 0.000 5.959 8.391
B 0.000 3.607 1.176
Rh 1.613 2.164 0.678
Rh 1.613 7.403 8.889
Rh 1.613 0.678 7.403
Rh 1.613 6.948 4.105
Rh 1.613 8.889 2.164
Rh 1.613 2.619 5.461
Rh 1.613 5.461 6.948
Rh 1.613 4.105 2.619
Rh 1.613 4.783 0.000
Rh 1.613 0.000 4.783
Au 0.000 0.000 0.000
Au 0.000 4.783 4.783
```

Computed properties:
As for the density of states at the Fermi level: 7.48 states/eV per cell. The magnetization comes out at 0.000 μB/cell. For the formation energy, the calculation gives -0.71 eV per atom. The crystal system is tetragonal.



Density functional theory data (PBE) for crystalline BAu2F at its relaxed geometry.

```
8
Lattice="5.902 0.000 0.000 0.000 5.902 0.000 2.951 2.951 3.639" Properties=species:S:1:pos:R:3 pbc="T T T"
B 2.951 2.951 0.000
B 2.951 5.902 1.819
Au 4.111 1.475 0.910
Au 1.791 4.426 0.910
Au 4.426 4.742 2.729
Au 7.377 7.062 2.729
F 0.000 0.000 0.000
F 5.902 2.951 1.819
```

Computed properties:
As for the density of states at the Fermi level: 0.00 states/eV per cell. The magnetization comes out at 0.000 μB/cell. The raw formation energy is -0.10 eV/atom. For the excess energy over the best structure of this formula in the dataset, the calculation gives 0.00 eV per formula unit. The crystal system is tetragonal.



Density functional theory data (PBE) for crystalline B2AuF at its relaxed geometry.

```
4
Lattice="0.000 2.821 2.821 2.821 0.000 2.821 2.821 2.821 0.000" Properties=species:S:1:pos:R:3 pbc="T T T"
B 1.410 1.410 1.410
B 4.231 4.231 4.231
Au 2.821 2.821 2.821
F 0.000 0.000 0.000
```

Computed properties:
As for the density of states at the Fermi level: 1.55 states/eV per cell. The magnetization comes out at 0.000 μB/cell. The raw formation energy is 1.10 eV/atom. For the excess energy over the best structure of this formula in the dataset, the calculation gives 1.34 eV per formula unit. The crystal system is cubic.



Density functional theory data (PBE) for crystalline BAu3F at its relaxed geometry.

```
5
Lattice="-3.105 -1.566 2.569 1.210 -4.030 -0.994 2.755 0.006 3.332" Properties=species:S:1:pos:R:3 pbc="T T T"
B 0.000 0.000 0.000
Au 0.605 -2.015 -0.497
Au 1.377 0.003 1.666
Au -1.552 -0.783 1.285
F 0.430 -2.795 2.454
```

Computed properties:
As for the density of states at the Fermi level: 7.46 states/eV per cell. The magnetization comes out at 0.000 μB/cell. The raw formation energy is 0.16 eV/atom. For the excess energy over the best structure of this formula in the dataset, the calculation gives 0.00 eV per formula unit. The crystal system is cubic.



Density functional theory data (PBE) for crystalline B2AuF at its relaxed geometry.

```
8
Lattice="5.002 0.000 0.000 0.000 5.002 0.000 2.501 2.501 4.479" Properties=species:S:1:pos:R:3 pbc="T T T"
B 3.751 1.251 1.120
B 1.251 3.752 1.120
B 3.752 3.752 3.359
B 6.253 6.252 3.359
Au 0.000 0.000 0.000
Au 5.002 2.501 2.239
F 2.501 2.501 0.000
F 2.501 5.002 2.239
```

Computed properties:
As for the density of states at the Fermi level: 1.43 states/eV per cell. The magnetization comes out at 0.000 μB/cell. The raw formation energy is 0.77 eV/atom. For the excess energy over the best structure of this formula in the dataset, the calculation gives 0.00 eV per formula unit. The crystal system is tetragonal.



Density functional theory data (PBE) for crystalline BAu2F at its relaxed geometry.

```
4
Lattice="0.000 2.974 2.974 2.974 0.000 2.974 2.974 2.974 0.000" Properties=species:S:1:pos:R:3 pbc="T T T"
B 0.000 0.000 0.000
Au 1.487 1.487 1.487
Au 4.461 4.461 4.461
F 2.974 2.974 2.974
```

Computed properties:
As for the density of states at the Fermi level: 1.75 states/eV per cell. The magnetization comes out at 0.000 μB/cell. The raw formation energy is 0.40 eV/atom. For the excess energy over the best structure of this formula in the dataset, the calculation gives 1.99 eV per formula unit. The crystal system is cubic.



Density functional theory data (PBE) for crystalline B3AuF at its relaxed geometry.

```
5
Lattice="-2.115 0.260 3.228 0.532 -3.775 0.653 3.194 0.801 2.028" Properties=species:S:1:pos:R:3 pbc="T T T"
B 0.266 -1.887 0.326
B 1.597 0.400 1.014
B -1.057 0.130 1.614
Au 0.806 -1.357 2.954
F 0.000 0.000 0.000
```

Computed properties:
As for the density of states at the Fermi level: 2.94 states/eV per cell. The magnetization comes out at 0.000 μB/cell. The raw formation energy is 1.87 eV/atom. For the excess energy over the best structure of this formula in the dataset, the calculation gives 2.68 eV per formula unit. The crystal system is cubic.



Density functional theory data (PBE) for crystalline BAuF at its relaxed geometry.

```
6
Lattice="-0.879 -2.714 0.313 1.137 0.234 -5.903 5.816 -0.005 3.839" Properties=species:S:1:pos:R:3 pbc="T T T"
Au 1.868 -0.682 -5.080
Au 4.206 -1.804 3.329
F 1.883 -1.883 -2.307
F 4.190 -0.602 0.557
B 3.703 -0.299 1.774
B 2.371 -2.186 -3.525
```

Computed properties:
As for the density of states at the Fermi level: 1.36 states/eV per cell. The magnetization comes out at 0.000 μB/cell. The raw formation energy is -0.90 eV/atom. The crystal system is triclinic.



Density functional theory data (PBE) for crystalline B3AuF at its relaxed geometry.

```
5
Lattice="-0.897 -2.398 3.304 -2.898 -2.009 -2.245 2.876 -2.772 -1.231" Properties=species:S:1:pos:R:3 pbc="T T T"
B -1.449 -1.005 -1.123
B 1.438 -1.386 -0.615
B -0.449 -1.199 1.652
Au 0.000 0.000 0.000
F -0.459 -3.590 -0.086
```

Computed properties:
As for the density of states at the Fermi level: 4.50 states/eV per cell. The magnetization comes out at 0.000 μB/cell. The raw formation energy is 1.33 eV/atom. For the excess energy over the best structure of this formula in the dataset, the calculation gives 0.00 eV per formula unit. The crystal system is cubic.



Density functional theory data (PBE) for crystalline BAuF3 at its relaxed geometry.

```
5
Lattice="3.818 0.000 0.000 0.000 3.818 0.000 0.000 0.000 3.818" Properties=species:S:1:pos:R:3 pbc="T T T"
B 0.000 0.000 0.000
Au 1.909 1.909 1.909
F 0.000 1.909 0.000
F 0.000 0.000 1.909
F 1.909 0.000 0.000
```

Computed properties:
As for the density of states at the Fermi level: 1.01 states/eV per cell. The magnetization comes out at 0.000 μB/cell. The raw formation energy is -0.43 eV/atom. For the excess energy over the best structure of this formula in the dataset, the calculation gives 0.00 eV per formula unit. The crystal system is cubic.



Density functional theory data (PBE) for crystalline BAuF3 at its relaxed geometry.

```
5
Lattice="4.390 0.000 0.000 0.000 4.390 0.000 0.000 0.000 4.390" Properties=species:S:1:pos:R:3 pbc="T T T"
B 2.195 2.195 2.195
Au 0.000 0.000 0.000
F 0.000 2.195 0.000
F 0.000 0.000 2.195
F 2.195 0.000 0.000
```

Computed properties:
As for the density of states at the Fermi level: 1.33 states/eV per cell. The magnetization comes out at 0.000 μB/cell. The raw formation energy is 0.11 eV/atom. For the excess energy over the best structure of this formula in the dataset, the calculation gives 2.71 eV per formula unit. The crystal system is cubic.